Density functional theory data (PBE) for a geometry-optimized DyTiH structure.

abc: 3.2363 3.2363 21.7343
angles: 90.00 90.00 120.00
With the nearest neighbours (Å) after each atom.
Fractional coordinates of all 12 atoms:
Dy 0.3333 0.6667 0.2831  1 H 2.18
Dy 0.3333 0.6667 0.4339  3 H 2.50
Dy 0.6667 0.3333 0.5661  3 H 2.50
Dy 0.6667 0.3333 0.7169  1 H 2.18
Ti 0.3333 0.6667 0.8325  3 H 1.90
Ti 0.3333 0.6667 0.9521  4 Ti 2.60-2.80
Ti 0.6667 0.3333 0.0479  4 Ti 2.60-2.80
Ti 0.6667 0.3333 0.1675  3 H 1.90
H 0.3333 0.6667 0.1830  3 Ti 1.90
H 0.3333 0.6667 0.6422  6 Dy 2.48-2.50
H 0.6667 0.3333 0.3578  6 Dy 2.48-2.50
H 0.6667 0.3333 0.8170  3 Ti 1.90

Results
E	-15.90	eV per formula unit
N(E_F)	0.6308	states/eV per atom
calculated density	7.1	Mg/m³
total magnetic moment	0.000	μB per atom